Entry from Alexandria via LeMat-Bulk: a relaxed structure of Er6TmSc3 (PBE-GGA).

```
20
Lattice="-4.144 -2.792 -3.442 5.342 2.762 -8.673 2.042 -9.107 4.928" Properties=species:S:1:pos:R:3 pbc="T T T"
Tm 1.989 -7.126 1.469
Tm 1.838 -1.615 -8.168
Er -0.342 -4.986 0.655
Er 2.458 -1.737 -1.913
Er -1.057 -1.503 -6.657
Er 4.910 -3.844 -3.157
Er -1.466 -11.009 1.236
Er 2.708 -4.739 -8.566
Er 3.592 1.123 -9.347
Er 0.121 -4.086 -2.542
Er 0.269 -7.437 -1.397
Er 3.681 -1.221 -5.199
Er 3.424 -8.221 -1.255
Er 2.573 -6.193 -3.786
Sc -2.902 -5.106 -2.398
Sc 4.583 -5.081 -6.083
Sc 1.565 -3.517 -5.484
Sc 1.775 -9.124 -4.769
Sc 2.892 -4.800 -0.692
Sc -0.093 -1.062 -3.711
```

Properties
Energy relative to the elements, eV per atom: 0.17
Size of the total moment, μB per atom: 0.0000
Crystal system: orthorhombic
Offset from the most stable computed form, meV per atom: 41
Calculated volume, Å³/atom: 29.035
Calculated density, g cm⁻³: 7.477